5
Lattice="5.208 0.000 0.000 0.000 5.208 0.000 0.000 0.000 5.208" Properties=species:S:1:pos:R:3 comment="PBE MgPdBr3, optimized geometry" density_g_cm3=4.4 m_tot_mub_per_atom=0.200 n_ef_per_ev_fu=12.24 e_above_lowest_polymorph_mev_per_atom=0 raw_formation_energy_mev_per_atom=-339.1 vol_a3_per_cell=141.3 pbc="T T T"
Br 2.604 0.000 0.000
Mg 0.000 0.000 0.000
Br 0.000 2.604 0.000
Pd 2.604 2.604 2.604
Br 0.000 0.000 2.604